Compound: Be2CrCo
Source: the Alexandria database
Functional: GGA-PBE
Structure: optimized geometry

Geometry as POSCAR:
```
Be2CrCo
1.0
2.3863 0.0000 0.0000
0.0000 3.5870 0.0000
-1.0272 0.0000 4.4596
Be Cr Co
2 1 1
Direct
0.2110 0.0000 0.2631
0.7890 0.0000 0.7369
0.5000 0.5000 0.0000
0.0000 0.5000 0.5000
```

Output
Symmetry: P2/m
Formation enthalpy at 0 K: -10.8 meV per atom
Crystal system: monoclinic



Compound: Be2CrCoGe
Source: the Alexandria database
Functional: GGA-PBE
Structure: optimized geometry

Geometry as POSCAR:
```
Be2CrCoGe
1.0
3.9994 0.0000 0.0000
0.0000 3.9994 0.0000
0.0000 0.0000 4.2767
Be Cr Co Ge
2 1 1 1
Direct
0.0000 0.5000 0.0000
0.5000 0.0000 0.0000
0.0000 0.0000 0.5000
0.0000 0.0000 0.0000
0.5000 0.5000 0.5000
```

Output
Symmetry: P4/mmm
Formation enthalpy at 0 K: 636.5 meV per atom
Crystal system: tetragonal



Compound: BeCrCo2H
Source: the Alexandria database
Functional: GGA-PBE
Structure: optimized geometry

Geometry as POSCAR:
```
BeCrCo2H
1.0
3.5979 0.0000 0.0000
0.0000 3.5979 0.0000
0.0000 0.0000 3.3609
Be Cr Co H
1 1 2 1
Direct
0.0000 0.0000 0.0000
0.5000 0.5000 0.0000
0.0000 0.5000 0.5000
0.5000 0.0000 0.5000
0.0000 0.0000 0.5000
```

Output
Symmetry: P4/mmm
Crystal system: tetragonal



Compound: BeCrCo2H
Source: the Alexandria database
Functional: GGA-PBE
Structure: optimized geometry

Geometry as POSCAR:
```
BeCrCo2H
1.0
3.5352 0.0000 0.0000
0.0000 3.5352 0.0000
0.0000 0.0000 3.5323
Be Cr Co H
1 1 2 1
Direct
0.0000 0.0000 0.0000
0.5000 0.5000 0.0000
0.0000 0.5000 0.5000
0.5000 0.0000 0.5000
0.5000 0.5000 0.5000
```

Output
Symmetry: P4/mmm
Crystal system: tetragonal



Compound: LaBeCr2Co
Source: the Alexandria database
Functional: GGA-PBE
Structure: optimized geometry

Geometry as POSCAR:
```
LaBeCr2Co
1.0
4.0306 0.0000 0.0000
0.0000 4.0306 0.0000
0.0000 0.0000 5.1781
La Be Cr Co
1 1 2 1
Direct
0.0000 0.0000 0.0000
0.0000 0.0000 0.5000
0.0000 0.5000 0.5000
0.5000 0.0000 0.5000
0.5000 0.5000 0.0000
```

Output
Symmetry: P4/mmm
Formation enthalpy at 0 K: 1192.6 meV per atom
Crystal system: tetragonal



Compound: Be2Nb2CrCo5
Source: the Alexandria database
Functional: GGA-PBE
Structure: optimized geometry

Geometry as POSCAR:
```
Be2Nb2CrCo5
1.0
8.4255 0.0000 0.0000
0.0000 8.4255 0.0000
0.0000 0.0000 3.2250
Be Nb Cr Co
4 4 2 10
Direct
0.1175 0.3825 0.0000
0.3825 0.8825 0.0000
0.6175 0.1175 0.0000
0.8825 0.6175 0.0000
0.1782 0.6782 0.0000
0.3218 0.1782 0.0000
0.6782 0.8218 0.0000
0.8218 0.3218 0.0000
0.0000 0.0000 0.0000
0.5000 0.5000 0.0000
0.0000 0.5000 0.5000
0.0681 0.2104 0.5000
0.2104 0.9319 0.5000
0.2896 0.4319 0.5000
0.4319 0.7104 0.5000
0.5000 0.0000 0.5000
0.5681 0.2896 0.5000
0.7104 0.5681 0.5000
0.7896 0.0681 0.5000
0.9319 0.7896 0.5000
```

Output
Symmetry: P4/mbm
Formation enthalpy at 0 K: -158.0 meV per atom
Crystal system: tetragonal



no.,final energy (eV/atom)
1,-6.0563
2,-5.1233
3,-6.1043
4,-6.1458
5,-5.8087
6,-7.4325